DFT (PBE) results for a relaxed structure of YB2As2.

Cell lengths 6.4538, 6.4538, 3.8644 Å; angles 90.00, 90.00, 90.00 degrees
Last column: nearest neighbours and their distance in Å.
Space group P4/mbm (No. 127)
One atom of each set of equivalent atoms:
Y: 0.0000 0.0000 0.0000 [2 per cell]  4 B 2.71
B: 0.0899 0.4101 0.0000 [4 per cell]  1 B 1.64
As: 0.1408 0.6408 0.5000 [4 per cell]  4 B 2.46, 1 As 2.57

Calculated values
Crystal system: tetragonal
Total magnetization, μB/cell: 0.00
Energy of formation from the pure elements, eV/atom: 0.2679



DFT (PBE) results for a relaxed structure of Ba3O2.

Cell lengths 6.8206, 6.8206, 20.0880 Å; angles 90.00, 90.00, 120.00 degrees
Last column: nearest neighbours and their distance in Å.
Space group R-3c (No. 167, hexagonal axes)
One atom of each set of equivalent atoms:
Ba: 0.0000 0.3209 0.2500 [18 per cell]  4 O 2.79-2.83
O: 0.0000 0.0000 0.1639 [12 per cell]  6 Ba 2.79-2.83

Calculated values
E_form (uncorrected), eV/f.u.: -9.2
Crystal system: trigonal
Total magnetization, μB/cell: 0.00